{"formula": "RbCd3Cl", "functional": "GGA-PBE", "state": "relaxed", "cell": [[6.182, 0.000, 0.000], [0.000, 6.182, 0.000], [0.000, 0.000, 6.182]], "species": ["Rb", "Cd", "Cd", "Cd", "Cl"], "frac_coords": [[0.000, 0.000, 0.000], [0.000, 0.500, 0.500], [0.500, 0.000, 0.500], [0.500, 0.500, 0.000], [0.500, 0.500, 0.500]], "spacegroup": "No. 221", "de_polymorph_mev_per_atom": 0.0}

---

{"formula": "RbCdCl3", "functional": "GGA-PBE", "state": "relaxed", "cell": [[6.942, -5.056, 0.000], [6.942, 5.056, 0.000], [-0.038, 0.000, 4.810]], "species": ["Rb", "Rb", "Cd", "Cd", "Cl", "Cl", "Cl", "Cl", "Cl", "Cl"], "frac_coords": [[0.222, 0.222, 0.252], [0.778, 0.778, 0.748], [0.315, 0.685, 0.000], [0.685, 0.315, 0.000], [0.072, 0.672, 0.250], [0.328, 0.928, 0.750], [0.400, 0.400, 0.758], [0.600, 0.600, 0.242], [0.672, 0.072, 0.250], [0.928, 0.328, 0.750]], "spacegroup": "No. 12"}

---

{"formula": "RbCd2Cl6", "functional": "GGA-PBE", "state": "relaxed", "cell": [[6.361, -2.898, 0.000], [6.361, 2.898, 0.000], [-5.783, 0.000, 7.922]], "species": ["Rb", "Cd", "Cd", "Cl", "Cl", "Cl", "Cl", "Cl", "Cl"], "frac_coords": [[0.000, 0.000, 0.000], [0.178, 0.178, 0.573], [0.822, 0.822, 0.427], [0.054, 0.054, 0.709], [0.294, 0.294, 0.431], [0.365, 0.365, 0.901], [0.635, 0.635, 0.099], [0.706, 0.706, 0.569], [0.946, 0.946, 0.291]], "spacegroup": "No. 12"}

---

{"formula": "Rb3CdCl6", "functional": "GGA-PBE", "state": "relaxed", "cell": [[7.212, -9.306, 0.000], [7.212, 9.306, 0.000], [0.000, 0.000, 5.576]], "species": ["Rb", "Rb", "Rb", "Rb", "Rb", "Rb", "Cd", "Cd", "Cl", "Cl", "Cl", "Cl", "Cl", "Cl", "Cl", "Cl", "Cl", "Cl", "Cl", "Cl"], "frac_coords": [[0.116, 0.884, 0.500], [0.198, 0.438, 0.495], [0.438, 0.198, 0.995], [0.562, 0.802, 0.495], [0.802, 0.562, 0.995], [0.884, 0.116, 0.000], [0.288, 0.712, 0.912], [0.712, 0.288, 0.412], [0.074, 0.634, 0.833], [0.162, 0.164, 0.744], [0.164, 0.162, 0.244], [0.287, 0.713, 0.368], [0.366, 0.926, 0.833], [0.421, 0.579, 0.861], [0.579, 0.421, 0.361], [0.634, 0.074, 0.333], [0.713, 0.287, 0.868], [0.836, 0.838, 0.744], [0.838, 0.836, 0.244], [0.926, 0.366, 0.333]], "spacegroup": "No. 36", "de_polymorph_mev_per_atom": 0.0}

---

{"formula": "RbCdCl3", "functional": "GGA-PBE", "state": "relaxed", "cell": [[9.149, 0.000, 0.000], [0.000, 4.123, 0.000], [0.000, 0.000, 15.302]], "species": ["Rb", "Rb", "Rb", "Rb", "Cd", "Cd", "Cd", "Cd", "Cl", "Cl", "Cl", "Cl", "Cl", "Cl", "Cl", "Cl", "Cl", "Cl", "Cl", "Cl"], "frac_coords": [[0.067, 0.250, 0.176], [0.433, 0.750, 0.676], [0.567, 0.250, 0.324], [0.933, 0.750, 0.824], [0.167, 0.750, 0.446], [0.333, 0.250, 0.946], [0.667, 0.750, 0.054], [0.833, 0.250, 0.554], [0.024, 0.750, 0.597], [0.171, 0.750, 0.006], [0.221, 0.250, 0.794], [0.279, 0.750, 0.294], [0.329, 0.250, 0.506], [0.476, 0.250, 0.097], [0.524, 0.750, 0.903], [0.671, 0.750, 0.494], [0.721, 0.250, 0.706], [0.779, 0.750, 0.206], [0.829, 0.250, 0.994], [0.976, 0.250, 0.403]], "spacegroup": "No. 62"}

---

{"formula": "Rb3CdCl5", "functional": "GGA-PBE", "state": "relaxed", "cell": [[-4.469, 4.469, 7.685], [4.469, -4.469, 7.685], [4.469, 4.469, -7.685]], "species": ["Rb", "Rb", "Rb", "Rb", "Rb", "Rb", "Cd", "Cd", "Cl", "Cl", "Cl", "Cl", "Cl", "Cl", "Cl", "Cl", "Cl", "Cl"], "frac_coords": [[0.163, 0.663, 0.827], [0.250, 0.250, 0.000], [0.337, 0.163, 0.500], [0.663, 0.837, 0.500], [0.750, 0.750, 0.000], [0.837, 0.337, 0.173], [0.250, 0.750, 0.500], [0.750, 0.250, 0.500], [0.000, 0.000, 0.000], [0.004, 0.199, 0.500], [0.199, 0.699, 0.195], [0.301, 0.496, 0.500], [0.496, 0.996, 0.195], [0.500, 0.500, 0.000], [0.504, 0.004, 0.805], [0.699, 0.504, 0.500], [0.801, 0.301, 0.805], [0.996, 0.801, 0.500]], "spacegroup": "No. 140"}

---

{"formula": "RbCdCl4", "functional": "GGA-PBE", "state": "relaxed", "cell": [[4.653, 0.000, 0.000], [0.000, 4.653, 0.000], [0.000, 0.000, 8.076]], "species": ["Rb", "Cd", "Cl", "Cl", "Cl", "Cl"], "frac_coords": [[0.000, 0.000, 0.000], [0.500, 0.500, 0.500], [0.000, 0.500, 0.296], [0.000, 0.500, 0.704], [0.500, 0.000, 0.296], [0.500, 0.000, 0.704]], "spacegroup": "No. 123"}

---

{"formula": "RbCd2Cl5", "functional": "GGA-PBE", "state": "relaxed", "cell": [[2.794, -6.194, 0.000], [2.794, 6.194, 0.000], [0.000, 0.000, 13.233]], "species": ["Rb", "Rb", "Cd", "Cd", "Cd", "Cd", "Cl", "Cl", "Cl", "Cl", "Cl", "Cl", "Cl", "Cl", "Cl", "Cl"], "frac_coords": [[0.015, 0.985, 0.750], [0.985, 0.015, 0.250], [0.352, 0.648, 0.557], [0.352, 0.648, 0.943], [0.648, 0.352, 0.057], [0.648, 0.352, 0.443], [0.164, 0.836, 0.033], [0.164, 0.836, 0.467], [0.286, 0.714, 0.750], [0.450, 0.550, 0.121], [0.450, 0.550, 0.379], [0.550, 0.450, 0.621], [0.550, 0.450, 0.879], [0.714, 0.286, 0.250], [0.836, 0.164, 0.533], [0.836, 0.164, 0.967]], "spacegroup": "No. 63", "de_polymorph_mev_per_atom": 0.0}

---

Going through the records in order, we get uncorrected formation energy values of -0.0573, -1.4391, -1.0719, -1.4607, -1.4633, -1.6628, -0.9531, -1.2962 eV per atom.